Entry 1:
Pm7Al2Cu2 | PBE-GGA | optimized geometry

abc: 6.895 7.097 6.895
angles: 90.00 109.07 90.00
Atoms (fractional coordinates):
Pm 0.000 0.267 0.500
Pm 0.500 0.733 0.000
Pm 0.000 0.733 0.500
Pm 0.500 0.267 0.000
Pm 0.000 0.000 0.000
Pm 0.500 0.746 0.500
Pm 0.500 0.254 0.500
Al 0.837 0.500 0.837
Al 0.163 0.500 0.163
Cu 0.708 0.000 0.292
Cu 0.292 0.000 0.708

## Properties
Energy relative to the elements = -6 meV/atom

=====

Entry 2:
TaIr2IN | PBE-GGA | optimized geometry

abc: 4.945 3.832 4.945
angles: 90.00 90.00 90.00
Atoms (fractional coordinates):
I 0.000 0.000 0.000
N 0.000 0.500 0.000
Ir 0.000 0.000 0.500
Ir 0.500 0.000 0.000
Ta 0.500 0.500 0.500

## Properties
Formation energy without anion corrections = 10.60 eV per formula unit

=====

Entry 3:
Li2NdHg3 | PBE-GGA | optimized geometry

abc: 4.719 4.719 13.885
angles: 90.00 90.00 120.00
Atoms (fractional coordinates):
Li 0.667 0.333 0.431
Li 0.333 0.667 0.569
Li 0.333 0.667 0.931
Li 0.667 0.333 0.069
Nd 0.000 0.000 0.250
Nd 0.000 0.000 0.750
Hg 0.000 0.000 0.500
Hg 0.000 0.000 0.000
Hg 0.667 0.333 0.630
Hg 0.333 0.667 0.130
Hg 0.667 0.333 0.870
Hg 0.333 0.667 0.370

## Properties
Energy relative to the elements = -393 meV/atom

=====

Entry 4:
Li2AgCl4 | PBE-GGA | optimized geometry

abc: 3.892 6.273 6.970
angles: 115.52 106.21 90.00
Atoms (fractional coordinates):
Li 0.724 0.744 0.448
Li 0.276 0.256 0.552
Ag 0.000 0.000 0.000
Cl 0.874 0.187 0.747
Cl 0.126 0.813 0.253
Cl 0.640 0.299 0.280
Cl 0.360 0.701 0.720

## Properties
Formation energy without anion corrections = -7.84 eV per formula unit
Energy above the most stable polymorph in this dataset = 0.231 eV per formula unit

=====

Entry 5:
Mg4Sc3Ag | PBE-GGA | optimized geometry

abc: 3.507 3.507 14.316
angles: 90.00 90.00 90.00
Atoms (fractional coordinates):
Sc 0.500 0.500 0.246
Sc 0.500 0.500 0.500
Sc 0.500 0.500 0.754
Mg 0.000 0.000 0.892
Mg 0.000 0.000 0.108
Mg 0.000 0.000 0.372
Mg 0.000 0.000 0.628
Ag 0.500 0.500 0.000

## Properties
Energy relative to the elements = -85 meV/atom

=====

Entry 6:
Al4Ru | PBE-GGA | optimized geometry

abc: 7.200 7.200 7.200
angles: 151.92 151.92 40.13
Atoms (fractional coordinates):
Al 0.750 0.250 0.500
Al 0.250 0.750 0.500
Al 0.593 0.593 0.000
Al 0.407 0.407 0.000
Ru 0.000 0.000 0.000

## Properties
Energy relative to the elements = 211 meV/atom
Energy above the most stable polymorph in this dataset = 2.867 eV per formula unit

=====

Entry 7:
RhSe2Cl | PBE-GGA | optimized geometry

abc: 11.949 11.949 11.949
angles: 13.72 13.72 13.72
Atoms (fractional coordinates):
Rh 0.000 0.000 0.000
Se 0.932 0.932 0.932
Se 0.068 0.068 0.068
Cl 0.500 0.500 0.500

## Properties
Formation energy without anion corrections = 0.87 eV per formula unit
Energy above the most stable polymorph in this dataset = 2.226 eV per formula unit

=====

Entry 8:
Ca2Te2Au | PBE-GGA | optimized geometry

abc: 8.480 8.480 4.066
angles: 90.00 90.00 90.00
Atoms (fractional coordinates):
Ca 0.152 0.652 0.500
Ca 0.652 0.848 0.500
Ca 0.848 0.348 0.500
Ca 0.348 0.152 0.500
Te 0.343 0.843 0.000
Te 0.843 0.657 0.000
Te 0.657 0.157 0.000
Te 0.157 0.343 0.000
Au 0.000 0.000 0.000
Au 0.500 0.500 0.000

## Properties
Formation energy without anion corrections = -4.83 eV per formula unit
Energy above the most stable polymorph in this dataset = 0.000 eV per formula unit

=====

Entry 9:
Ba4YCu | PBE-GGA | optimized geometry

abc: 7.429 7.429 7.429
angles: 60.00 60.00 60.00
Atoms (fractional coordinates):
Ba 0.875 0.375 0.375
Ba 0.375 0.375 0.875
Ba 0.375 0.875 0.375
Ba 0.375 0.375 0.375
Y 0.000 0.000 0.000
Cu 0.750 0.750 0.750

## Properties
Energy relative to the elements = 736 meV/atom

=====

Entry 10:
Zr2TaTe | PBE-GGA | optimized geometry

abc: 9.391 9.391 9.391
angles: 20.73 20.73 20.73
Atoms (fractional coordinates):
Ta 0.496 0.496 0.496
Te 0.755 0.755 0.755
Zr 0.003 0.003 0.003
Zr 0.246 0.246 0.246

## Properties
Formation energy without anion corrections = 0.09 eV per formula unit

=====

Entry 11:
CsScF4 | PBE-GGA | optimized geometry

abc: 4.184 6.693 8.708
angles: 90.00 103.90 90.00
Atoms (fractional coordinates):
Cs 0.328 0.750 0.655
Cs 0.672 0.250 0.345
Sc 0.077 0.750 0.153
Sc 0.923 0.250 0.847
F 0.163 0.551 0.325
F 0.837 0.449 0.675
F 0.163 0.949 0.325
F 0.837 0.051 0.675
F 0.567 0.750 0.134
F 0.433 0.250 0.866
F 0.000 0.500 0.000
F 0.000 0.000 0.000

## Properties
Formation energy without anion corrections = -21.68 eV per formula unit
Energy above the most stable polymorph in this dataset = 0.065 eV per formula unit

=====

Entry 12:
CsLiNpO4 | PBE-GGA | optimized geometry

abc: 5.626 5.771 8.930
angles: 90.00 123.07 90.00
Atoms (fractional coordinates):
Cs 0.648 0.750 0.921
Cs 0.352 0.250 0.079
Li 0.192 0.750 0.338
Li 0.808 0.250 0.662
Np 0.785 0.750 0.461
Np 0.215 0.250 0.539
O 0.060 0.490 0.658
O 0.940 0.990 0.342
O 0.940 0.510 0.342
O 0.060 0.010 0.658
O 0.409 0.750 0.229
O 0.591 0.250 0.771
O 0.554 0.750 0.564
O 0.446 0.250 0.436

## Properties
Formation energy without anion corrections = -16.28 eV per formula unit